Entry 1:
Compound: Mg5Cu2Pb2
Source: Alexandria
Functional: PBE-GGA
Structure: optimized geometry

abc: 8.607 8.607 7.088
angles: 90.00 90.00 48.65
Positions (direct):
Mg (0.000, 0.000, 0.000)
Mg (0.059, 0.721, 0.670)
Mg (0.221, 0.559, 0.170)
Mg (0.279, 0.941, 0.670)
Mg (0.441, 0.779, 0.170)
Mg (0.500, 0.500, 0.500)
Mg (0.559, 0.221, 0.830)
Mg (0.721, 0.059, 0.330)
Mg (0.779, 0.441, 0.830)
Mg (0.941, 0.279, 0.330)
Cu (0.126, 0.874, 0.376)
Cu (0.374, 0.626, 0.876)
Cu (0.626, 0.374, 0.124)
Cu (0.874, 0.126, 0.624)
Pb (0.224, 0.224, 0.000)
Pb (0.276, 0.276, 0.500)
Pb (0.724, 0.724, 0.500)
Pb (0.776, 0.776, 0.000)

Summary:
**Raw total energy**: -24.05 eV/f.u.
**N(E_F)**: 6.32 states/eV per cell
**Total magnetic moment**: 0.000 μB/cell
**Theoretical density**: 5.586 g/cm3

Entry 2:
Compound: Mg12CuPb3
Source: Alexandria
Functional: PBE-GGA
Structure: optimized geometry

abc: 4.501 4.501 17.947
angles: 90.00 90.00 90.00
Positions (direct):
Mg (0.000, 0.000, 0.000)
Mg (0.000, 0.000, 0.239)
Mg (0.000, 0.000, 0.500)
Mg (0.000, 0.000, 0.761)
Mg (0.000, 0.500, 0.107)
Mg (0.000, 0.500, 0.370)
Mg (0.000, 0.500, 0.630)
Mg (0.000, 0.500, 0.893)
Mg (0.500, 0.000, 0.107)
Mg (0.500, 0.000, 0.370)
Mg (0.500, 0.000, 0.630)
Mg (0.500, 0.000, 0.893)
Cu (0.500, 0.500, 0.000)
Pb (0.500, 0.500, 0.239)
Pb (0.500, 0.500, 0.500)
Pb (0.500, 0.500, 0.761)

Summary:
**Raw total energy**: -34.89 eV/f.u.
**N(E_F)**: 5.77 states/eV per cell
**Total magnetic moment**: 0.000 μB/cell
**Theoretical density**: 4.461 g/cm3

Entry 3:
Compound: MgCu2Pb
Source: Alexandria
Functional: PBE-GGA
Structure: optimized geometry

abc: 4.677 4.677 4.677
angles: 60.00 60.00 60.00
Positions (direct):
Mg (0.000, 0.000, 0.000)
Cu (0.250, 0.250, 0.250)
Cu (0.500, 0.500, 0.500)
Pb (0.750, 0.750, 0.750)

Summary:
**Raw total energy**: -12.67 eV/f.u.
**N(E_F)**: 0.91 states/eV per cell
**Total magnetic moment**: 0.000 μB/cell
**Theoretical density**: 8.229 g/cm3